(1)
# Rb4TlCd4

Rb4TlCd4 after structural relaxation (PBE-GGA, Alexandria).

Results
Calculated formation energy: -4 meV per atom
Total DFT energy (no corrections): -1.10 eV/atom

abc: 6.991 10.758 10.758
angles: 90.00 90.00 90.00
Element x y z (fractional)
Rb 0.379 0.410 0.815
Rb 0.879 0.685 0.910
Rb 0.379 0.590 0.185
Rb 0.121 0.090 0.685
Rb 0.621 0.815 0.590
Rb 0.121 0.910 0.315
Rb 0.879 0.315 0.090
Rb 0.621 0.185 0.410
Tl 0.000 0.000 0.000
Tl 0.500 0.500 0.500
Cd 0.633 0.933 0.152
Cd 0.633 0.067 0.848
Cd 0.133 0.652 0.567
Cd 0.867 0.433 0.652
Cd 0.867 0.567 0.348
Cd 0.367 0.152 0.067
Cd 0.367 0.848 0.933
Cd 0.133 0.348 0.433

=====

(2)
# Tm2HgPd

Tm2HgPd after structural relaxation (PBE-GGA, Alexandria).

Results
Polymorph energy (0 for the lowest one): 0.62 eV/f.u.
Calculated formation energy: -557 meV per atom
Total DFT energy (no corrections): -4.17 eV/atom

abc: 3.984 3.984 7.844
angles: 75.29 75.29 60.00
Element x y z (fractional)
Tm 0.072 0.072 0.785
Tm 0.262 0.262 0.213
Hg 0.501 0.501 0.498
Pd 0.665 0.665 0.004

=====

(3)
# CeTi2P4

CeTi2P4 after structural relaxation (PBE-GGA, Alexandria).

Results
Calculated formation energy: -990 meV per atom
Total DFT energy (no corrections): -7.18 eV/atom

abc: 3.703 6.119 11.772
angles: 90.00 90.00 107.61
Element x y z (fractional)
Ce 0.605 0.210 0.750
Ce 0.395 0.790 0.250
Ti 0.134 0.268 0.446
Ti 0.866 0.732 0.946
Ti 0.134 0.268 0.054
Ti 0.866 0.732 0.554
P 0.759 0.517 0.127
P 0.759 0.517 0.373
P 0.241 0.483 0.873
P 0.241 0.483 0.627
P 0.924 0.848 0.750
P 0.076 0.152 0.250
P 0.500 0.000 0.000
P 0.500 0.000 0.500

=====

(4)
# ScTcRu2Rh

ScTcRu2Rh after structural relaxation (PBE-GGA, Alexandria).

Results
Polymorph energy (0 for the lowest one): 4.56 eV/f.u.
Calculated formation energy: 1748 meV per atom
Total DFT energy (no corrections): -6.77 eV/atom

abc: 4.490 4.509 4.490
angles: 90.00 90.00 90.00
Element x y z (fractional)
Sc 0.000 0.000 0.000
Ru 0.000 0.000 0.500
Ru 0.500 0.000 0.000
Rh 0.500 0.500 0.500
Tc 0.000 0.500 0.000

=====

(5)
# Ca2Zn4Ga3Pt

Ca2Zn4Ga3Pt after structural relaxation (PBE-GGA, Alexandria).

Results
Calculated formation energy: -412 meV per atom
Total DFT energy (no corrections): -2.83 eV/atom

abc: 4.186 4.186 10.950
angles: 90.00 90.00 90.00
Element x y z (fractional)
Ca 0.500 0.000 0.255
Ca 0.000 0.500 0.745
Zn 0.500 0.500 0.000
Zn 0.000 0.000 0.000
Zn 0.500 0.000 0.638
Zn 0.000 0.500 0.362
Ga 0.000 0.000 0.500
Ga 0.500 0.000 0.864
Ga 0.000 0.500 0.136
Pt 0.500 0.500 0.500

=====

(6)
# LaReCl2

LaReCl2 after structural relaxation (PBE-GGA, Alexandria).

Results
Polymorph energy (0 for the lowest one): 0.05 eV/f.u.
Uncorrected formation energy: -1.83 eV per formula unit
Total DFT energy (no corrections): -5.73 eV/atom

abc: 3.429 4.892 6.558
angles: 77.93 90.00 90.00
Element x y z (fractional)
Re 0.500 0.947 0.653
Cl 0.000 0.838 0.922
Cl 0.500 0.240 0.313
La 0.000 0.475 0.611

=====

(7)
# NaYUS4

NaYUS4 after structural relaxation (PBE-GGA, Alexandria).

Results
Uncorrected formation energy: -11.35 eV per formula unit
Total DFT energy (no corrections): -6.70 eV/atom

abc: 8.210 8.134 8.108
angles: 119.90 90.00 120.31
Site moments in Bohr magnetons follow the coordinates.
Element x y z (fractional)
Na 0.880 0.759 0.130  0.00
Na 0.120 0.241 0.870  0.00
Y 0.500 0.000 0.500  0.02
Y 0.500 0.000 0.000  0.02
U 0.500 0.500 0.500  2.03
U 0.000 0.500 0.500  2.03
S 0.740 0.480 0.711  -0.05
S 0.290 0.032 0.266  -0.03
S 0.742 0.032 0.266  -0.03
S 0.740 0.480 0.270  -0.05
S 0.260 0.520 0.730  -0.05
S 0.710 0.968 0.734  -0.03
S 0.258 0.968 0.734  -0.03
S 0.260 0.520 0.289  -0.05

=====

(8)
# PmHo6Tm2

PmHo6Tm2 after structural relaxation (PBE-GGA, Alexandria).

Results
Polymorph energy (0 for the lowest one): 0.00 eV/f.u.
Calculated formation energy: 76 meV per atom
Total DFT energy (no corrections): -4.50 eV/atom

abc: 5.657 11.738 11.738
angles: 48.13 103.89 103.89
Element x y z (fractional)
Pm 0.250 0.250 0.750
Pm 0.750 0.750 0.250
Ho 0.807 0.503 0.667
Ho 0.693 0.333 0.497
Ho 0.193 0.497 0.333
Ho 0.307 0.667 0.503
Ho 0.917 0.917 0.417
Ho 0.583 0.583 0.083
Ho 0.083 0.083 0.583
Ho 0.417 0.417 0.917
Ho 0.139 0.833 0.997
Ho 0.361 0.003 0.167
Ho 0.861 0.167 0.003
Ho 0.639 0.997 0.833
Tm 0.032 0.668 0.832
Tm 0.468 0.168 0.332
Tm 0.968 0.332 0.168
Tm 0.532 0.832 0.668

=====

(9)
# LiTlCl

LiTlCl after structural relaxation (PBE-GGA, Alexandria).

Results
Uncorrected formation energy: -0.94 eV per formula unit
Total DFT energy (no corrections): -2.35 eV/atom

abc: 5.162 5.162 5.162
angles: 60.00 60.00 60.00
Site moments in Bohr magnetons follow the coordinates.
Element x y z (fractional)
Cl 0.000 0.000 0.000  0.06
Li 0.500 0.500 0.500  0.05
Tl 0.750 0.750 0.750  0.08

=====

(10)
# V2CuRu

V2CuRu after structural relaxation (PBE-GGA, Alexandria).

Results
Calculated formation energy: -66 meV per atom
Total DFT energy (no corrections): -7.97 eV/atom

abc: 3.727 3.749 3.749
angles: 90.00 90.00 90.00
Element x y z (fractional)
Ru 0.500 0.000 0.000
Cu 0.500 0.500 0.500
V 0.000 0.000 0.500
V 0.000 0.500 0.000

=====

(11)
# MgZr2H

MgZr2H after structural relaxation (PBE-GGA, Alexandria).

Results
Polymorph energy (0 for the lowest one): 0.59 eV/f.u.
Total DFT energy (no corrections): -5.46 eV/atom

abc: 6.520 6.520 5.741
angles: 55.40 55.40 90.00
Element x y z (fractional)
H 0.500 0.500 0.000
H 0.250 0.750 0.500
Mg 0.000 0.000 0.000
Mg 0.750 0.250 0.500
Zr 0.515 0.125 0.250
Zr 0.235 0.625 0.250
Zr 0.375 0.485 0.750
Zr 0.875 0.765 0.750

=====

(12)
# TbAgSn

TbAgSn after structural relaxation (PBE-GGA, Alexandria).

Results
Calculated formation energy: -225 meV per atom
Total DFT energy (no corrections): -4.05 eV/atom

abc: 8.179 8.179 6.800
angles: 109.26 109.26 116.84
Element x y z (fractional)
Tb 0.625 0.375 0.250
Tb 0.125 0.375 0.750
Tb 0.625 0.375 0.750
Tb 0.625 0.875 0.250
Sn 0.077 0.923 0.500
Sn 0.827 0.173 0.000
Sn 0.423 0.577 0.500
Sn 0.173 0.827 0.000
Ag 0.118 0.618 0.235
Ag 0.132 0.132 0.265
Ag 0.868 0.868 0.735
Ag 0.382 0.882 0.765

=====

(13)
# SiB3

SiB3 after structural relaxation (PBE-GGA, Alexandria).

Results
Polymorph energy (0 for the lowest one): 2.38 eV/f.u.
Uncorrected formation energy: 2.21 eV per formula unit
Total DFT energy (no corrections): -5.81 eV/atom

abc: 6.059 2.273 6.143
angles: 90.00 119.44 90.00
Element x y z (fractional)
Si 0.721 0.000 0.105
Si 0.721 0.500 0.605
B 0.921 0.000 0.473
B 0.921 0.500 0.973
B 0.250 0.000 0.659
B 0.250 0.500 0.159
B 0.362 0.000 0.438
B 0.362 0.500 0.938

=====

(14)
# Ba2BeCl6

Ba2BeCl6 after structural relaxation (PBE-GGA, Alexandria).

Results
Uncorrected formation energy: -18.46 eV per formula unit
Total DFT energy (no corrections): -4.12 eV/atom

abc: 6.684 9.433 8.023
angles: 90.00 90.00 92.38
Element x y z (fractional)
Ba 0.044 0.259 0.605
Ba 0.456 0.241 0.105
Ba 0.544 0.759 0.895
Ba 0.956 0.741 0.395
Be 0.500 0.000 0.500
Be 0.000 0.500 0.000
Cl 0.080 0.719 0.016
Cl 0.167 0.452 0.295
Cl 0.205 0.038 0.351
Cl 0.295 0.462 0.851
Cl 0.333 0.048 0.795
Cl 0.420 0.781 0.516
Cl 0.920 0.281 0.984
Cl 0.833 0.548 0.705
Cl 0.795 0.962 0.649
Cl 0.705 0.538 0.149
Cl 0.667 0.952 0.205
Cl 0.580 0.219 0.484

=====

(15)
# CoTcPt2

CoTcPt2 after structural relaxation (PBE-GGA, Alexandria).

Results
Polymorph energy (0 for the lowest one): 0.33 eV/f.u.
Calculated formation energy: -19 meV per atom
Total DFT energy (no corrections): -7.41 eV/atom

abc: 8.963 8.963 8.963
angles: 17.58 17.58 17.58
Site moments in Bohr magnetons follow the coordinates.
Element x y z (fractional)
Co 0.750 0.750 0.750  1.83
Pt 0.002 0.002 0.002  0.16
Pt 0.498 0.498 0.498  0.16
Tc 0.250 0.250 0.250  0.06

=====

(16)
# RbZnNi3

RbZnNi3 after structural relaxation (PBE-GGA, Alexandria).

Results
Polymorph energy (0 for the lowest one): 0.00 eV/f.u.
Calculated formation energy: 864 meV per atom
Total DFT energy (no corrections): -3.05 eV/atom

abc: 4.616 4.616 4.616
angles: 90.00 90.00 90.00
Site moments in Bohr magnetons follow the coordinates.
Element x y z (fractional)
Ni 0.000 0.500 0.000  0.05
Ni 0.000 0.000 0.500  0.05
Ni 0.500 0.000 0.000  0.04
Zn 0.000 0.000 0.000  0.00
Rb 0.500 0.500 0.500  0.00

=====

(17)
# TbPr4Te5

TbPr4Te5 after structural relaxation (PBE-GGA, Alexandria).

Results
Uncorrected formation energy: -14.12 eV per formula unit
Total DFT energy (no corrections): -5.36 eV/atom

abc: 4.480 4.480 16.387
angles: 97.86 97.86 90.00
Element x y z (fractional)
Tb 0.000 0.000 0.000
Pr 0.396 0.396 0.793
Pr 0.807 0.807 0.615
Pr 0.193 0.193 0.385
Pr 0.604 0.604 0.207
Te 0.095 0.095 0.189
Te 0.500 0.500 0.000
Te 0.905 0.905 0.811
Te 0.296 0.296 0.591
Te 0.704 0.704 0.409

=====

(18)
# ScHgRu2Au

ScHgRu2Au after structural relaxation (PBE-GGA, Alexandria).

Results
Calculated formation energy: 1207 meV per atom
Total DFT energy (no corrections): -4.49 eV/atom

abc: 4.926 4.938 4.926
angles: 90.00 90.00 90.00
Site moments in Bohr magnetons follow the coordinates.
Element x y z (fractional)
Sc 0.000 0.500 0.000  -0.26
Ru 0.000 0.000 0.500  1.61
Ru 0.500 0.000 0.000  0.90
Au 0.000 0.000 0.000  0.11
Hg 0.500 0.500 0.500  -0.01

=====

(19)
# LiAl2

LiAl2 after structural relaxation (PBE-GGA, Alexandria).

Results
Polymorph energy (0 for the lowest one): 0.06 eV/f.u.
Calculated formation energy: -89 meV per atom
Total DFT energy (no corrections): -3.22 eV/atom

abc: 6.566 6.566 6.566
angles: 155.07 155.07 35.55
Element x y z (fractional)
Al 0.331 0.331 0.000
Al 0.669 0.669 0.000
Li 0.000 0.000 0.000

=====

(20)
# Tb6Nd2Tm5

Tb6Nd2Tm5 after structural relaxation (PBE-GGA, Alexandria).

Results
Calculated formation energy: 101 meV per atom
Total DFT energy (no corrections): -4.49 eV/atom

abc: 3.581 11.677 20.105
angles: 90.00 90.00 90.00
Element x y z (fractional)
Tb 0.000 0.081 0.365
Tb 0.000 0.919 0.635
Tb 0.000 0.581 0.135
Tb 0.000 0.419 0.865
Tb 0.500 0.323 0.126
Tb 0.500 0.677 0.874
Tb 0.500 0.823 0.374
Tb 0.500 0.177 0.626
Tb 0.000 0.558 0.422
Tb 0.000 0.442 0.578
Tb 0.000 0.058 0.078
Tb 0.000 0.942 0.922
Nd 0.000 0.335 0.284
Nd 0.000 0.665 0.716
Nd 0.000 0.835 0.216
Nd 0.000 0.165 0.784
Tm 0.500 0.301 0.448
Tm 0.500 0.699 0.552
Tm 0.500 0.801 0.052
Tm 0.500 0.199 0.948
Tm 0.500 0.596 0.278
Tm 0.500 0.404 0.722
Tm 0.500 0.096 0.222
Tm 0.500 0.904 0.778
Tm 0.500 0.500 0.000
Tm 0.500 0.000 0.500